Record 1
A plane-wave DFT calculation with PBE was carried out for crystalline MnSb2 at its relaxed geometry.

Unit cell a=3.5736 b=3.5736 c=6.0745 alpha=90.00 beta=90.00 gamma=120.00
Element x y z (fractional)
Mn 0.0000 0.0000 0.0000
Sb 0.3333 0.6667 0.2794
Sb 0.6667 0.3333 0.7206

Results
symmetry = P-3m1
N(E_F) = 1.6 states/eV per cell
ΔE_f (raw) = 0.12 eV per atom
crystal system = trigonal



Record 2
A plane-wave DFT calculation with PBE was carried out for crystalline Mn4Sb3 at its relaxed geometry.

Unit cell a=11.8354 b=11.8354 c=11.8354 alpha=163.54 beta=163.54 gamma=23.36
Element x y z (fractional)
Mn 0.0607 0.0607 0.0000
Mn 0.3806 0.3806 0.0000
Mn 0.6194 0.6194 0.0000
Mn 0.9393 0.9393 0.0000
Sb 0.1779 0.1779 0.0000
Sb 0.5000 0.5000 0.0000
Sb 0.8221 0.8221 0.0000

Results
symmetry = I4/mmm
N(E_F) = 4.3 states/eV per cell
ΔE_f (raw) = 0.13 eV per atom
crystal system = tetragonal



Record 3
A plane-wave DFT calculation with PBE was carried out for crystalline Mn3Sb at its relaxed geometry.

Unit cell a=3.8125 b=3.8125 c=3.8125 alpha=90.00 beta=90.00 gamma=90.00
Element x y z (fractional)
Mn 0.0000 0.0000 0.5000
Mn 0.0000 0.5000 0.0000
Mn 0.5000 0.0000 0.0000
Sb 0.5000 0.5000 0.5000

Results
symmetry = Pm-3m
N(E_F) = 1.2 states/eV per cell
ΔE_f (raw) = 0.10 eV per atom
crystal system = cubic



Record 4
A plane-wave DFT calculation with PBE was carried out for crystalline Mn3Sb at its relaxed geometry.

Unit cell a=2.8671 b=4.3454 c=4.7386 alpha=90.00 beta=94.11 gamma=90.00
Element x y z (fractional)
Mn 0.0000 0.0000 0.0000
Mn 0.2453 0.5000 0.7759
Mn 0.7547 0.5000 0.2241
Sb 0.5000 0.0000 0.5000

Results
symmetry = P2/m
N(E_F) = 4.4 states/eV per cell
ΔE_f (raw) = 0.39 eV per atom
crystal system = monoclinic



Record 5
A plane-wave DFT calculation with PBE was carried out for crystalline Mn3Sb at its relaxed geometry.

Unit cell a=3.0942 b=3.0942 c=8.1286 alpha=90.00 beta=90.00 gamma=120.00
Element x y z (fractional)
Mn 0.0000 0.0000 0.0000
Mn 0.3333 0.6667 0.2199
Mn 0.3333 0.6667 0.7801
Sb 0.0000 0.0000 0.5000

Results
symmetry = P-6m2
N(E_F) = 5.2 states/eV per cell
ΔE_f (raw) = 0.44 eV per atom
crystal system = hexagonal



Record 6
A plane-wave DFT calculation with PBE was carried out for crystalline Mn5Sb3 at its relaxed geometry.

Unit cell a=7.8548 b=7.8548 c=5.2018 alpha=90.00 beta=90.00 gamma=120.00
Element x y z (fractional)
Mn 0.0000 0.2111 0.2500
Mn 0.0000 0.7889 0.7500
Mn 0.2111 0.0000 0.2500
Mn 0.2111 0.2111 0.7500
Mn 0.3333 0.6667 0.0000
Mn 0.3333 0.6667 0.5000
Mn 0.6667 0.3333 0.0000
Mn 0.6667 0.3333 0.5000
Mn 0.7889 0.0000 0.7500
Mn 0.7889 0.7889 0.2500
Sb 0.0000 0.3916 0.7500
Sb 0.0000 0.6084 0.2500
Sb 0.3916 0.0000 0.7500
Sb 0.3916 0.3916 0.2500
Sb 0.6084 0.0000 0.2500
Sb 0.6084 0.6084 0.7500

Results
symmetry = P6_3/mcm
N(E_F) = 13.0 states/eV per cell
ΔE_f (raw) = 0.23 eV per atom
crystal system = hexagonal



Record 7
A plane-wave DFT calculation with PBE was carried out for crystalline MnSb2 at its relaxed geometry.

Unit cell a=6.8017 b=6.8017 c=3.5084 alpha=104.85 beta=104.85 gamma=26.34
Element x y z (fractional)
Mn 0.0000 0.0000 0.0000
Sb 0.3723 0.3723 0.3733
Sb 0.6277 0.6277 0.6267

Results
symmetry = C2/m
N(E_F) = 1.9 states/eV per cell
ΔE_f (raw) = 0.14 eV per atom
crystal system = monoclinic



Record 8
A plane-wave DFT calculation with PBE was carried out for crystalline MnSb3 at its relaxed geometry.

Unit cell a=9.4378 b=9.4378 c=9.4378 alpha=20.94 beta=20.94 gamma=20.94
Element x y z (fractional)
Mn 0.0000 0.0000 0.0000
Sb 0.2682 0.2682 0.2682
Sb 0.5000 0.5000 0.5000
Sb 0.7318 0.7318 0.7318

Results
relative energy among the computed polymorphs = 0.0893 eV/atom
symmetry = R-3m
N(E_F) = 2.2 states/eV per cell
ΔE_f (raw) = 0.19 eV per atom
crystal system = trigonal



Record 9
A plane-wave DFT calculation with PBE was carried out for crystalline Mn3Sb at its relaxed geometry.

Unit cell a=4.6051 b=4.6051 c=4.6051 alpha=131.22 beta=131.22 gamma=71.47
Element x y z (fractional)
Mn 0.0000 0.0000 0.0000
Mn 0.2500 0.7500 0.5000
Mn 0.7500 0.2500 0.5000
Sb 0.5000 0.5000 0.0000

Results
symmetry = I4/mmm
N(E_F) = 3.3 states/eV per cell
ΔE_f (raw) = 0.17 eV per atom
crystal system = tetragonal



Record 10
A plane-wave DFT calculation with PBE was carried out for crystalline Mn3Sb at its relaxed geometry.

Unit cell a=5.4206 b=5.4206 c=4.3238 alpha=90.00 beta=90.00 gamma=120.00
Element x y z (fractional)
Mn 0.1526 0.3052 0.2500
Mn 0.1526 0.8474 0.2500
Mn 0.3052 0.1526 0.7500
Mn 0.6948 0.8474 0.2500
Mn 0.8474 0.1526 0.7500
Mn 0.8474 0.6948 0.7500
Sb 0.3333 0.6667 0.7500
Sb 0.6667 0.3333 0.2500

Results
symmetry = P6_3/mmc
N(E_F) = 4.0 states/eV per cell
ΔE_f (raw) = 0.11 eV per atom
crystal system = hexagonal



Record 11
A plane-wave DFT calculation with PBE was carried out for crystalline Mn7Sb at its relaxed geometry.

Unit cell a=5.2649 b=5.2649 c=5.2649 alpha=60.00 beta=60.00 gamma=60.00
Element x y z (fractional)
Mn 0.0000 0.0000 0.0000
Mn 0.0000 0.0000 0.5000
Mn 0.0000 0.5000 0.0000
Mn 0.0000 0.5000 0.5000
Mn 0.5000 0.0000 0.0000
Mn 0.5000 0.0000 0.5000
Mn 0.5000 0.5000 0.0000
Sb 0.5000 0.5000 0.5000

Results
symmetry = Fm-3m
N(E_F) = 8.2 states/eV per cell
ΔE_f (raw) = 0.15 eV per atom
crystal system = cubic



Record 12
A plane-wave DFT calculation with PBE was carried out for crystalline Mn3Sb at its relaxed geometry.

Unit cell a=8.0037 b=8.0037 c=8.0037 alpha=152.39 beta=152.39 gamma=39.44
Element x y z (fractional)
Mn 0.0000 0.5000 0.5000
Mn 0.1240 0.1240 0.0000
Mn 0.2500 0.7500 0.5000
Mn 0.5000 0.0000 0.5000
Mn 0.7500 0.2500 0.5000
Mn 0.8760 0.8760 0.0000
Sb 0.3741 0.3741 0.0000
Sb 0.6259 0.6259 0.0000

Results
symmetry = I4/mmm
N(E_F) = 5.3 states/eV per cell
ΔE_f (raw) = 0.14 eV per atom
crystal system = tetragonal



Record 13
A plane-wave DFT calculation with PBE was carried out for crystalline MnSb3 at its relaxed geometry.

Unit cell a=8.1095 b=8.1095 c=3.7849 alpha=90.00 beta=90.00 gamma=118.79
Element x y z (fractional)
Mn 0.0770 0.9230 0.7500
Mn 0.9230 0.0770 0.2500
Sb 0.1524 0.3342 0.7500
Sb 0.2373 0.7627 0.2500
Sb 0.3342 0.1524 0.2500
Sb 0.6658 0.8476 0.7500
Sb 0.7627 0.2373 0.7500
Sb 0.8476 0.6658 0.2500

Results
relative energy among the computed polymorphs = 0.0365 eV/atom
symmetry = Cmcm
N(E_F) = 3.0 states/eV per cell
ΔE_f (raw) = 0.14 eV per atom
crystal system = orthorhombic



Record 14
A plane-wave DFT calculation with PBE was carried out for crystalline Mn8Sb at its relaxed geometry.

Unit cell a=5.7220 b=5.7220 c=5.7220 alpha=95.78 beta=95.78 gamma=143.01
Element x y z (fractional)
Mn 0.0000 0.3491 0.3491
Mn 0.0000 0.6509 0.6509
Mn 0.3144 0.3144 0.6289
Mn 0.3144 0.6856 0.0000
Mn 0.3491 0.0000 0.3491
Mn 0.6509 0.0000 0.6509
Mn 0.6856 0.3144 0.0000
Mn 0.6856 0.6856 0.3711
Sb 0.0000 0.0000 0.0000

Results
symmetry = I4/mmm
N(E_F) = 10.5 states/eV per cell
ΔE_f (raw) = 0.11 eV per atom
crystal system = tetragonal